# LiP2Os PBE optimized geometry
data_LiP2Os
_chemical_formula_sum 'Li3 P6 Os3'
_cell_length_a 2.9681
_cell_length_b 2.9681
_cell_length_c 22.6870
_cell_angle_alpha 90.00
_cell_angle_beta 90.00
_cell_angle_gamma 120.00
_space_group_name_H-M_alt 'R -3 m'
_space_group_IT_number 166
_space_group_name_Hall '-R 3 2"'
loop_
_atom_site_label
_atom_site_fract_x
_atom_site_fract_y
_atom_site_fract_z
_atom_site_occupancy
Li1 0.0000 0.0000 0.0000 1
P1 0.0000 0.0000 0.2440 1
Os1 0.0000 0.0000 0.5000 1
# **Excess energy over the best structure of this formula in the dataset**: 2.02 kcal/mol of atoms
# **Formation energy from the elements**: -0.15 eV/atom



# CePaFe4 PBE optimized geometry
data_CePaFe4
_chemical_formula_sum 'Ce4 Pa4 Fe16'
_cell_length_a 7.132
_cell_length_b 7.132
_cell_length_c 7.132
_cell_angle_alpha 90.00
_cell_angle_beta 90.00
_cell_angle_gamma 90.00
_space_group_name_H-M_alt 'F -4 3 m'
_space_group_IT_number 216
_space_group_name_Hall 'F -4 2 3'
loop_
_atom_site_label
_atom_site_fract_x
_atom_site_fract_y
_atom_site_fract_z
_atom_site_occupancy
Ce1 0.000 0.000 0.000 1
Pa1 0.250 0.250 0.250 1
Fe1 0.125 0.125 0.625 1
# **Formation energy from the elements**: -0.13 eV/atom



# RbLiZrTe3 PBE optimized geometry
data_RbLiZrTe3
_chemical_formula_sum 'Rb2 Li2 Zr2 Te6'
_cell_length_a 9.719
_cell_length_b 4.285
_cell_length_c 10.586
_cell_angle_alpha 90.00
_cell_angle_beta 110.92
_cell_angle_gamma 90.00
_space_group_name_H-M_alt 'P 1 21/m 1'
_space_group_IT_number 11
loop_
_space_group_symop_operation_xyz
'x,y,z'
'-x,-y,-z'
'-x,y+1/2,-z'
'x,-y+1/2,z'
loop_
_atom_site_label
_atom_site_fract_x
_atom_site_fract_y
_atom_site_fract_z
_atom_site_occupancy
Rb1 0.221 0.250 0.261 1
Li1 0.078 0.250 0.603 1
Zr1 0.318 0.750 0.840 1
Te1 0.126 0.250 0.874 1
Te2 0.227 0.750 0.554 1
Te3 0.465 0.750 0.144 1
# **Raw formation energy**: -995 meV/atom



# SrGaPb2I PBE optimized geometry
data_SrGaPb2I
_chemical_formula_sum 'Sr1 Ga1 Pb2 I1'
_cell_length_a 6.369
_cell_length_b 6.369
_cell_length_c 6.111
_cell_angle_alpha 90.00
_cell_angle_beta 90.00
_cell_angle_gamma 90.00
_space_group_name_H-M_alt 'P 4/m m m'
_space_group_IT_number 123
_space_group_name_Hall '-P 4 2'
loop_
_atom_site_label
_atom_site_fract_x
_atom_site_fract_y
_atom_site_fract_z
_atom_site_occupancy
Sr1 0.000 0.000 0.000 1
Ga1 0.000 0.000 0.500 1
Pb1 0.000 0.500 0.000 1
I1 0.500 0.500 0.500 1
# **Raw formation energy**: 628 meV/atom



| no. | total magnetic moment (μB/atom) |
| --- | --- |
| 1 | 0.00 |
| 2 | 0.71 |
| 3 | 0.00 |
| 4 | 0.41 |